Entry 1:
A plane-wave DFT calculation with PBE was carried out for crystalline Pm7Nd2 at its relaxed geometry.

a = 6.342 Å, b = 6.342 Å, c = 8.931 Å
α = 90.00°, β = 90.00°, γ = 120.00°
Positions (direct):
Nd  0.333  0.667  0.000
Nd  0.667  0.333  0.000
Pm  0.000  0.333  0.666
Pm  0.667  0.667  0.666
Pm  0.000  0.000  0.000
Pm  0.667  0.000  0.334
Pm  0.333  0.000  0.666
Pm  0.333  0.333  0.334
Pm  0.000  0.667  0.334

Calculated values
- total moment (Bohr magnetons per cell) = 0.0
- V (A^3/atom) = 34.56
- N(E_F) (states/eV/cell) = 12.26
- SG = No. 162
- total DFT energy (no corrections) (eV/cell) = -42.68
- energy of formation from the pure elements (eV/atom) = 0.012

---

Entry 2:
A plane-wave DFT calculation with PBE was carried out for crystalline Pm4Nd at its relaxed geometry.

a = 5.815 Å, b = 5.815 Å, c = 5.815 Å
α = 90.00°, β = 90.00°, γ = 90.00°
Positions (direct):
Nd  0.500  0.500  0.500
Pm  0.000  0.000  0.000
Pm  0.000  0.500  0.500
Pm  0.500  0.000  0.500
Pm  0.500  0.500  0.000

Calculated values
- total moment (Bohr magnetons per cell) = 0.0
- V (A^3/atom) = 39.33
- N(E_F) (states/eV/cell) = 10.23
- SG = No. 221
- energy relative to the lowest polymorph listed for this composition (meV/atom) = 599
- total DFT energy (no corrections) (eV/cell) = -20.72
- energy of formation from the pure elements (eV/atom) = 0.609

---

Entry 3:
A plane-wave DFT calculation with PBE was carried out for crystalline Pm7Pr2Nd2 at its relaxed geometry.

a = 8.880 Å, b = 6.203 Å, c = 8.880 Å
α = 63.39°, β = 97.04°, γ = 116.61°
Positions (direct):
Pr  0.768  0.123  0.232
Pr  0.232  0.877  0.768
Nd  0.782  0.500  0.782
Nd  0.218  0.500  0.218
Pm  0.940  0.180  0.589
Pm  0.586  0.367  0.414
Pm  0.411  0.180  0.060
Pm  0.589  0.820  0.940
Pm  0.414  0.633  0.586
Pm  0.000  0.000  0.000
Pm  0.060  0.820  0.411

Calculated values
- total moment (Bohr magnetons per cell) = 0.0
- V (A^3/atom) = 35.37
- N(E_F) (states/eV/cell) = 16.69
- SG = No. 12
- energy relative to the lowest polymorph listed for this composition (meV/atom) = 0
- total DFT energy (no corrections) (eV/cell) = -50.84
- energy of formation from the pure elements (eV/atom) = 0.137

---

Entry 4:
A plane-wave DFT calculation with PBE was carried out for crystalline Pm6PrNd4 at its relaxed geometry.

a = 3.653 Å, b = 11.155 Å, c = 11.155 Å
α = 120.00°, β = 90.00°, γ = 90.00°
Positions (direct):
Nd  0.500  0.839  0.161
Nd  0.500  0.839  0.678
Nd  0.000  0.333  0.667
Nd  0.500  0.322  0.161
Pr  0.000  0.000  0.000
Pm  0.000  0.527  0.053
Pm  0.000  0.527  0.473
Pm  0.500  0.185  0.369
Pm  0.500  0.185  0.815
Pm  0.000  0.947  0.473
Pm  0.500  0.631  0.815

Calculated values
- total moment (Bohr magnetons per cell) = 0.0
- V (A^3/atom) = 35.79
- N(E_F) (states/eV/cell) = 16.20
- SG = No. 187
- energy relative to the lowest polymorph listed for this composition (meV/atom) = 0
- total DFT energy (no corrections) (eV/cell) = -50.70
- energy of formation from the pure elements (eV/atom) = 0.150

---

Entry 5:
A plane-wave DFT calculation with PBE was carried out for crystalline Pm5Pr2Nd3 at its relaxed geometry.

a = 6.957 Å, b = 12.635 Å, c = 12.635 Å
α = 44.75°, β = 74.02°, γ = 74.02°
Positions (direct):
Nd  0.250  0.000  0.000
Nd  0.373  0.377  0.876
Nd  0.873  0.876  0.377
Nd  0.127  0.124  0.623
Nd  0.750  0.000  0.000
Nd  0.627  0.623  0.124
Pm  0.500  0.750  0.750
Pm  0.875  0.533  0.718
Pm  0.000  0.750  0.750
Pm  0.125  0.467  0.282
Pm  0.625  0.282  0.467
Pm  0.250  0.500  0.500
Pm  0.000  0.250  0.250
Pm  0.500  0.250  0.250
Pm  0.750  0.500  0.500
Pm  0.375  0.718  0.533
Pr  0.625  0.974  0.775
Pr  0.125  0.775  0.974
Pr  0.875  0.225  0.026
Pr  0.375  0.026  0.225

Calculated values
- total moment (Bohr magnetons per cell) = 0.0
- V (A^3/atom) = 37.33
- N(E_F) (states/eV/cell) = 30.40
- SG = No. 72
- energy relative to the lowest polymorph listed for this composition (meV/atom) = 177
- total DFT energy (no corrections) (eV/cell) = -88.25
- energy of formation from the pure elements (eV/atom) = 0.349

---

Entry 6:
A plane-wave DFT calculation with PBE was carried out for crystalline Pm3Pr4Nd at its relaxed geometry.

a = 3.687 Å, b = 6.383 Å, c = 13.318 Å
α = 113.63°, β = 97.96°, γ = 90.00°
Positions (direct):
Pr  0.750  0.749  0.499
Pr  0.250  0.251  0.501
Pr  0.624  0.874  0.249
Pr  0.376  0.126  0.751
Nd  0.500  0.000  0.000
Pm  0.000  0.500  0.000
Pm  0.124  0.373  0.249
Pm  0.876  0.627  0.751

Calculated values
- total moment (Bohr magnetons per cell) = 0.0
- V (A^3/atom) = 35.48
- N(E_F) (states/eV/cell) = 13.31
- SG = No. 12
- total DFT energy (no corrections) (eV/cell) = -38.03
- energy of formation from the pure elements (eV/atom) = 0.013

---

Entry 7:
A plane-wave DFT calculation with PBE was carried out for crystalline PmPr2Nd2 at its relaxed geometry.

a = 6.273 Å, b = 6.277 Å, c = 9.006 Å
α = 110.80°, β = 110.77°, γ = 32.85°
Positions (direct):
Nd  0.108  0.107  0.411
Nd  0.892  0.893  0.589
Pr  0.322  0.323  0.202
Pr  0.678  0.677  0.798
Pm  0.000  0.000  0.000

Calculated values
- total moment (Bohr magnetons per cell) = 0.0
- V (A^3/atom) = 35.74
- N(E_F) (states/eV/cell) = 8.01
- SG = No. 2
- energy relative to the lowest polymorph listed for this composition (meV/atom) = 0
- total DFT energy (no corrections) (eV/cell) = -23.21
- energy of formation from the pure elements (eV/atom) = 0.127

---

Entry 8:
A plane-wave DFT calculation with PBE was carried out for crystalline Pm8PrNd2 at its relaxed geometry.

a = 5.177 Å, b = 8.197 Å, c = 9.678 Å
α = 104.71°, β = 105.51°, γ = 90.00°
Positions (direct):
Pm  0.682  0.909  0.364
Pm  0.136  0.182  0.273
Pm  0.045  0.727  0.091
Pm  0.864  0.818  0.727
Pm  0.591  0.455  0.182
Pm  0.409  0.545  0.818
Pm  0.955  0.273  0.909
Pm  0.318  0.091  0.636
Pr  0.500  0.000  0.000
Nd  0.227  0.637  0.455
Nd  0.773  0.363  0.545

Calculated values
- total moment (Bohr magnetons per cell) = 0.0
- V (A^3/atom) = 34.70
- N(E_F) (states/eV/cell) = 17.33
- SG = No. 12
- energy relative to the lowest polymorph listed for this composition (meV/atom) = 0
- total DFT energy (no corrections) (eV/cell) = -52.18
- energy of formation from the pure elements (eV/atom) = 0.013

---

Entry 9:
A plane-wave DFT calculation with PBE was carried out for crystalline Pm3PrNd4 at its relaxed geometry.

a = 7.349 Å, b = 7.344 Å, c = 10.393 Å
α = 90.00°, β = 90.00°, γ = 90.00°
Positions (direct):
Pm  0.000  0.810  0.500
Pm  0.751  0.561  0.250
Pm  0.000  0.310  0.000
Pm  0.249  0.061  0.250
Pm  0.751  0.561  0.750
Pm  0.249  0.061  0.750
Nd  0.000  0.811  0.000
Nd  0.249  0.561  0.250
Nd  0.249  0.561  0.750
Nd  0.751  0.061  0.250
Nd  0.500  0.810  0.500
Nd  0.751  0.061  0.750
Nd  0.500  0.310  0.000
Nd  0.000  0.311  0.500
Pr  0.500  0.311  0.500
Pr  0.500  0.811  0.000

Calculated values
- total moment (Bohr magnetons per cell) = 0.0
- V (A^3/atom) = 35.05
- N(E_F) (states/eV/cell) = 26.06
- SG = No. 53
- energy relative to the lowest polymorph listed for this composition (meV/atom) = 0
- total DFT energy (no corrections) (eV/cell) = -75.99
- energy of formation from the pure elements (eV/atom) = 0.013

---

Entry 10:
A plane-wave DFT calculation with PBE was carried out for crystalline Pm2PrNd7 at its relaxed geometry.

a = 5.668 Å, b = 9.377 Å, c = 9.377 Å
α = 123.11°, β = 90.00°, γ = 90.00°
Positions (direct):
Nd  0.500  0.705  0.934
Nd  0.500  0.934  0.705
Nd  0.500  0.295  0.066
Nd  0.000  0.773  0.227
Nd  0.500  0.066  0.295
Nd  0.000  0.227  0.773
Nd  0.500  0.500  0.500
Pm  0.500  0.297  0.703
Pm  0.500  0.703  0.297
Pr  0.000  0.000  0.000

Calculated values
- total moment (Bohr magnetons per cell) = 0.0
- V (A^3/atom) = 41.74
- N(E_F) (states/eV/cell) = 15.16
- SG = No. 65
- energy relative to the lowest polymorph listed for this composition (meV/atom) = 253
- total DFT energy (no corrections) (eV/cell) = -41.48
- energy of formation from the pure elements (eV/atom) = 0.617

---

Entry 11:
A plane-wave DFT calculation with PBE was carried out for crystalline PmPr2Nd7 at its relaxed geometry.

a = 3.484 Å, b = 15.480 Å, c = 15.467 Å
α = 154.85°, β = 90.00°, γ = 90.00°
Positions (direct):
Nd  0.000  0.311  0.691
Nd  0.500  0.145  0.345
Nd  0.500  0.656  0.855
Nd  0.500  0.855  0.655
Nd  0.000  0.689  0.309
Nd  0.500  0.344  0.145
Nd  0.500  0.500  0.500
Pr  0.500  0.205  0.793
Pr  0.500  0.795  0.207
Pm  0.000  0.000  0.000

Calculated values
- total moment (Bohr magnetons per cell) = 0.0
- V (A^3/atom) = 35.45
- N(E_F) (states/eV/cell) = 16.75
- SG = No. 10
- energy relative to the lowest polymorph listed for this composition (meV/atom) = 0
- total DFT energy (no corrections) (eV/cell) = -46.05
- energy of formation from the pure elements (eV/atom) = 0.163

---

Entry 12:
A plane-wave DFT calculation with PBE was carried out for crystalline PmPr4Nd6 at its relaxed geometry.

a = 9.899 Å, b = 9.899 Å, c = 9.899 Å
α = 58.32°, β = 139.69°, γ = 139.69°
Positions (direct):
Nd  0.500  0.500  0.000
Nd  0.500  0.000  0.500
Nd  0.649  0.201  0.201
Nd  0.000  0.448  0.799
Nd  0.000  0.799  0.448
Nd  0.351  0.552  0.552
Pr  0.000  0.632  0.012
Pr  0.000  0.012  0.632
Pr  0.380  0.368  0.368
Pr  0.620  0.988  0.988
Pm  0.000  0.000  0.000

Calculated values
- total moment (Bohr magnetons per cell) = 0.0
- V (A^3/atom) = 36.57
- N(E_F) (states/eV/cell) = 16.70
- SG = No. 121
- energy relative to the lowest polymorph listed for this composition (meV/atom) = 0
- total DFT energy (no corrections) (eV/cell) = -49.47
- energy of formation from the pure elements (eV/atom) = 0.273

---

energy of formation from the pure elements of number 4 (Pm6PrNd4)?
0.150 eV/atom